# 1
The following is a GGA-PBE calculation of an optimized crystal structure of Te2POsI, from Alexandria via LeMat-Bulk.

Results
- theoretical density (g cm⁻³) = 6.99
- energy relative to the lowest polymorph listed for this composition (kJ per mole of atoms) = 46.5
- energy (eV per atom) = -3.335

Cell and atoms, written as POSCAR:
```
Te2POsI
1.0
5.272 0.000 0.000
0.000 5.272 0.000
0.000 0.000 5.154
Te P Os I
2 1 1 1
direct
0.000 0.500 0.000
0.500 0.000 0.000
0.000 0.000 0.000
0.500 0.500 0.500
0.000 0.000 0.500
```

---

# 2
The following is a GGA-PBE calculation of an optimized crystal structure of TePOsI2, from Alexandria via LeMat-Bulk.

Results
- theoretical density (g cm⁻³) = 6.78
- energy relative to the lowest polymorph listed for this composition (kJ per mole of atoms) = 0.0
- energy (eV per atom) = -3.461

Cell and atoms, written as POSCAR:
```
TePOsI2
1.0
5.393 0.000 0.000
0.000 5.393 0.000
0.000 0.000 5.078
Te P Os I
1 1 1 2
direct
0.000 0.000 0.000
0.500 0.500 0.000
0.000 0.000 0.500
0.000 0.500 0.500
0.500 0.000 0.500
```

---

# 3
The following is a GGA-PBE calculation of an optimized crystal structure of TePOsI2, from Alexandria via LeMat-Bulk.

Results
- theoretical density (g cm⁻³) = 6.53
- energy relative to the lowest polymorph listed for this composition (kJ per mole of atoms) = 42.6
- energy (eV per atom) = -3.019

Cell and atoms, written as POSCAR:
```
TePOsI2
1.0
5.294 0.000 0.000
0.000 5.294 0.000
0.000 0.000 5.468
Te P Os I
1 1 1 2
direct
0.000 0.000 0.000
0.000 0.000 0.500
0.500 0.500 0.000
0.000 0.500 0.500
0.500 0.000 0.500
```

---

# 4
The following is a GGA-PBE calculation of an optimized crystal structure of Te2POsI, from Alexandria via LeMat-Bulk.

Results
- theoretical density (g cm⁻³) = 6.96
- energy relative to the lowest polymorph listed for this composition (kJ per mole of atoms) = 0.0
- energy (eV per atom) = -3.817

Cell and atoms, written as POSCAR:
```
Te2POsI
1.0
5.133 0.000 0.000
0.000 5.133 0.000
0.000 0.000 5.462
Te P Os I
2 1 1 1
direct
0.000 0.500 0.000
0.500 0.000 0.000
0.000 0.000 0.500
0.500 0.500 0.000
0.500 0.500 0.500
```

---

# 5
The following is a GGA-PBE calculation of an optimized crystal structure of Pa2OsI, from Alexandria via LeMat-Bulk.

Results
- theoretical density (g cm⁻³) = 11.60
- energy (eV per atom) = -8.287

Cell and atoms, written as POSCAR:
```
Pa2OsI
1.0
2.046 1.181 7.691
-2.046 1.181 7.691
0.000 -2.363 7.691
Pa Os I
2 1 1
direct
0.229 0.229 0.229
0.771 0.771 0.771
0.500 0.500 0.500
0.000 0.000 0.000
```

---

# 6
The following is a GGA-PBE calculation of an optimized crystal structure of Pa2OsI2, from Alexandria via LeMat-Bulk.

Results
- theoretical density (g cm⁻³) = 8.78
- energy (eV per atom) = -7.326

Cell and atoms, written as POSCAR:
```
Pa2OsI2
1.0
3.528 -2.040 0.000
3.528 2.040 0.000
-2.619 0.000 11.904
Pa Os I
2 1 2
direct
0.213 0.213 0.123
0.787 0.787 0.877
0.500 0.500 0.000
0.050 0.050 0.686
0.950 0.950 0.314
```

---

- Number 5 is which compound?
  Pa2OsI

---

- theoretical density of number 3 (TePOsI2)?
  6.53 g cm⁻³

---

- Which value of theoretical density does entry 6 give?
  8.78 g cm⁻³